## P
A plane-wave DFT calculation with SCAN was carried out for BaZr2Ta at its PBEsol-relaxed geometry.

The structure in POSCAR format:
```
BaZr2Ta
1.0
4.7149 -1.5518 0.0000
4.7149 1.5518 0.0000
-0.3856 0.0000 7.1704
Ba Zr Ta
1 2 1
Cartesian
0.0000 0.0000 0.0000 Ba
1.9774 0.0000 4.8755 Zr
7.0668 0.0000 2.2949 Zr
4.5221 0.0000 3.5852 Ta
```

Output
SG: C2/m (12)
M_tot: 0.000 μB/atom
Density: 7.92 g cm⁻³


## Q
A plane-wave DFT calculation with SCAN was carried out for BaZr2Ta at its PBEsol-relaxed geometry.

The structure in POSCAR format:
```
BaZr2Ta
1.0
-1.6673 2.3083 7.6352
1.6673 -2.3083 7.6352
1.6673 2.3083 -7.6352
Ba Zr Ta
1 2 1
Cartesian
0.0000 0.0000 0.0000 Ba
0.0000 0.0000 5.2987 Zr
0.0000 2.3083 3.2907 Zr
1.6673 0.0000 3.1301 Ta
```

Output
SG: Imm2 (44)
M_tot: 0.000 μB/atom
Density: 7.07 g cm⁻³


Most stable: P (next structure +122 meV per atom)


## P
A plane-wave DFT calculation with SCAN was carried out for Ba2ZrTa at its PBEsol-relaxed geometry.

The structure in POSCAR format:
```
Ba2ZrTa
1.0
-2.2292 2.2292 5.6663
2.2292 -2.2292 5.6663
2.2292 2.2292 -5.6663
Ba Zr Ta
2 1 1
Cartesian
2.2292 0.0000 2.8331 Ba
0.0000 2.2292 2.8331 Ba
0.0000 0.0000 0.0000 Zr
0.0000 0.0000 5.6663 Ta
```

Output
SG: I4/mmm (139)
M_tot: 0.000 μB/atom
Density: 8.06 g cm⁻³


## Q
A plane-wave DFT calculation with SCAN was carried out for Ba2ZrTa at its PBEsol-relaxed geometry.

The structure in POSCAR format:
```
Ba2ZrTa
1.0
1.7398 1.0045 11.6643
-1.7398 1.0045 11.6643
0.0000 -2.0090 11.6643
Ba Zr Ta
2 1 1
Cartesian
0.0000 0.0000 0.0000 Ba
0.0000 0.0000 7.7989 Ba
0.0000 0.0000 16.4229 Zr
0.0000 0.0000 26.0883 Ta
```

Output
SG: R3m (160)
M_tot: 0.408 μB/atom
Density: 7.42 g cm⁻³


Most stable: Q (next structure +375 meV per atom)


## P
A plane-wave DFT calculation with SCAN was carried out for BaTc3 at its PBEsol-relaxed geometry.

The structure in POSCAR format:
```
BaTc3
1.0
2.9422 0.0000 0.0000
0.0000 3.5216 0.0000
0.0000 0.0000 7.7284
Ba Tc
1 3
Cartesian
0.0000 0.0000 0.0000 Ba
0.0000 0.0000 3.8642 Tc
1.4711 1.7608 2.6320 Tc
1.4711 1.7608 5.0964 Tc
```

Output
SG: Pmmm (47)
M_tot: 0.000 μB/atom
Density: 8.94 g cm⁻³


## Q
A plane-wave DFT calculation with SCAN was carried out for BaTc3 at its PBEsol-relaxed geometry.

The structure in POSCAR format:
```
BaTc3
1.0
5.0129 0.0000 0.0000
0.0000 5.0129 0.0000
0.0000 0.0000 5.0129
Ba Tc
1 3
Cartesian
0.0000 0.0000 0.0000 Ba
0.0000 0.0000 2.5065 Tc
0.0000 2.5065 0.0000 Tc
2.5065 0.0000 0.0000 Tc
```

Output
SG: Pm-3m (221)
M_tot: 1.951 μB/atom
Density: 5.69 g cm⁻³


Most stable: P (next structure +3335 meV per atom)


## P
A plane-wave DFT calculation with SCAN was carried out for Ba2Tc at its PBEsol-relaxed geometry.

The structure in POSCAR format:
```
Ba2Tc
1.0
-1.8220 1.8220 7.3574
1.8220 -1.8220 7.3574
1.8220 1.8220 -7.3574
Ba Tc
2 1
Cartesian
0.0000 0.0000 1.8965 Ba
0.0000 0.0000 12.8182 Ba
0.0000 0.0000 7.3574 Tc
```

Output
SG: I4/mmm (139)
M_tot: 0.258 μB/atom
Density: 6.33 g cm⁻³


## Q
A plane-wave DFT calculation with SCAN was carried out for Ba2Tc at its PBEsol-relaxed geometry.

The structure in POSCAR format:
```
Ba2Tc
1.0
-4.4701 4.4701 2.4381
4.4701 -4.4701 2.4381
4.4701 4.4701 -2.4381
Ba Tc
4 2
Cartesian
5.9037 1.4337 0.0000 Ba
1.4337 3.0364 0.0000 Ba
3.0364 1.4337 2.4381 Ba
-1.4337 3.0364 2.4381 Ba
0.0000 0.0000 1.2191 Tc
0.0000 0.0000 3.6572 Tc
```

Output
SG: I4/mcm (140)
M_tot: 0.628 μB/atom
Density: 6.35 g cm⁻³


## R
A plane-wave DFT calculation with SCAN was carried out for Ba2Tc at its PBEsol-relaxed geometry.

The structure in POSCAR format:
```
Ba2Tc
1.0
5.2636 0.0000 0.0000
-2.6318 4.5584 0.0000
0.0000 0.0000 3.6452
Ba Tc
2 1
Cartesian
0.0000 3.0390 0.9757 Ba
2.6318 1.5195 2.6695 Ba
0.0000 0.0000 0.0000 Tc
```

Output
SG: P-3m1 (164)
M_tot: 0.356 μB/atom
Density: 7.08 g cm⁻³


Most stable: Q (next structure +182 meV per atom)


## P
A plane-wave DFT calculation with SCAN was carried out for BaTcW2 at its PBEsol-relaxed geometry.

The structure in POSCAR format:
```
BaTcW2
1.0
4.8062 -1.6033 0.0000
4.8062 1.6033 0.0000
-1.4873 0.0000 5.9823
Ba Tc W
1 1 2
Cartesian
0.0000 0.0000 0.0000 Ba
4.0625 0.0000 2.9912 Tc
1.0673 0.0000 3.7450 W
7.0578 0.0000 2.2373 W
```

Output
SG: C2/m (12)
M_tot: 0.000 μB/atom
Density: 10.86 g cm⁻³


## Q
A plane-wave DFT calculation with SCAN was carried out for BaTcW2 at its PBEsol-relaxed geometry.

The structure in POSCAR format:
```
BaTcW2
1.0
3.0669 0.0000 0.0000
0.0000 3.0669 0.0000
0.0000 0.0000 8.5681
Ba Tc W
1 1 2
Cartesian
0.0000 0.0000 0.0000 Ba
0.0000 0.0000 4.2840 Tc
1.5334 1.5334 2.7718 W
1.5334 1.5334 5.7963 W
```

Output
SG: P4/mmm (123)
M_tot: 0.000 μB/atom
Density: 12.43 g cm⁻³


Most stable: P (next structure +6 meV per atom)


## P
A plane-wave DFT calculation with SCAN was carried out for Ba2ZrTc at its PBEsol-relaxed geometry.

The structure in POSCAR format:
```
Ba2ZrTc
1.0
4.3298 0.0000 0.0000
0.0000 4.3298 0.0000
0.0000 0.0000 5.6191
Ba Zr Tc
2 1 1
Cartesian
0.0000 2.1649 0.0000 Ba
2.1649 0.0000 0.0000 Ba
0.0000 0.0000 2.8096 Zr
2.1649 2.1649 2.8096 Tc
```

Output
SG: P4/mmm (123)
M_tot: 0.000 μB/atom
Density: 7.31 g cm⁻³


## Q
A plane-wave DFT calculation with SCAN was carried out for Ba2ZrTc at its PBEsol-relaxed geometry.

The structure in POSCAR format:
```
Ba2ZrTc
1.0
1.7228 -2.7796 0.0000
1.7228 2.7796 0.0000
0.0000 0.0000 11.1393
Ba Zr Tc
2 1 1
Cartesian
0.0000 0.0000 2.3632 Ba
0.0000 0.0000 8.7761 Ba
1.7228 0.0000 5.5696 Zr
1.7228 0.0000 0.0000 Tc
```

Output
SG: Cmmm (65)
M_tot: 0.000 μB/atom
Density: 7.22 g cm⁻³


Most stable: P (next structure +168 meV per atom)


## P
A plane-wave DFT calculation with SCAN was carried out for BaZrTc2 at its PBEsol-relaxed geometry.

The structure in POSCAR format:
```
BaZrTc2
1.0
1.6680 -2.5375 0.0000
1.6680 2.5375 0.0000
0.0000 0.0000 9.3893
Ba Zr Tc
1 1 2
Cartesian
0.0000 0.0000 0.0000 Ba
0.0000 0.0000 4.6947 Zr
1.6680 0.0000 2.6332 Tc
1.6680 0.0000 6.7561 Tc
```

Output
SG: Cmmm (65)
M_tot: 0.000 μB/atom
Density: 8.87 g cm⁻³


## Q
A plane-wave DFT calculation with SCAN was carried out for BaZrTc2 at its PBEsol-relaxed geometry.

The structure in POSCAR format:
```
BaZrTc2
1.0
3.2734 0.0000 0.0000
0.0000 4.4911 0.0000
0.0000 0.0000 5.2032
Ba Zr Tc
1 1 2
Cartesian
0.0000 0.0000 0.0000 Ba
1.6367 0.0000 2.6016 Zr
0.0000 2.2456 2.6016 Tc
1.6367 2.2456 0.0000 Tc
```

Output
SG: Pmmm (47)
M_tot: 0.000 μB/atom
Density: 9.22 g cm⁻³


Most stable: P (next structure +355 meV per atom)


## P
A plane-wave DFT calculation with SCAN was carried out for Ba4Te at its PBEsol-relaxed geometry.

The structure in POSCAR format:
```
Ba4Te
1.0
-2.3267 2.3267 11.1410
2.3267 -2.3267 11.1410
2.3267 2.3267 -11.1410
Ba Te
4 1
Cartesian
0.0000 0.0000 1.8071 Ba
2.3267 0.0000 5.5705 Ba
0.0000 2.3267 5.5705 Ba
0.0000 0.0000 20.4750 Ba
0.0000 0.0000 11.1410 Te
```

Output
SG: I4/mmm (139)
M_tot: 0.249 μB/atom
Density: 4.66 g cm⁻³


## Q
A plane-wave DFT calculation with SCAN was carried out for Ba4Te at its PBEsol-relaxed geometry.

The structure in POSCAR format:
```
Ba4Te
1.0
-4.0073 4.0073 4.0073
4.0073 -4.0073 4.0073
4.0073 4.0073 -4.0073
Ba Te
4 1
Cartesian
2.0036 2.0036 -2.0036 Ba
2.0036 -2.0036 2.0036 Ba
-2.0036 2.0036 2.0036 Ba
2.0036 2.0036 2.0036 Ba
0.0000 0.0000 0.0000 Te
```

Output
SG: Im-3m (229)
M_tot: 0.000 μB/atom
Density: 4.37 g cm⁻³


Most stable: Q (next structure +233 meV per atom)


## P
A plane-wave DFT calculation with SCAN was carried out for BaTeW at its PBEsol-relaxed geometry.

The structure in POSCAR format:
```
BaTeW
1.0
0.0000 3.5485 3.5485
3.5485 0.0000 3.5485
3.5485 3.5485 0.0000
Ba Te W
1 1 1
Cartesian
0.0000 0.0000 0.0000 Ba
1.7742 1.7742 1.7742 Te
3.5485 3.5485 3.5485 W
```

Output
SG: F-43m (216)
M_tot: 0.000 μB/atom
Density: 8.34 g cm⁻³


## Q
A plane-wave DFT calculation with SCAN was carried out for BaTeW at its PBEsol-relaxed geometry.

The structure in POSCAR format:
```
BaTeW
1.0
4.5863 0.0000 0.0000
-2.2932 3.9719 0.0000
0.0000 0.0000 4.8618
Ba Te W
1 1 1
Cartesian
0.0000 0.0000 0.0000 Ba
0.0000 2.6479 2.4309 Te
2.2932 1.3240 2.4309 W
```

Output
SG: P-6m2 (187)
M_tot: 0.000 μB/atom
Density: 8.41 g cm⁻³


Most stable: Q (next structure +740 meV per atom)


## P
A plane-wave DFT calculation with SCAN was carried out for BaYTe2 at its PBEsol-relaxed geometry.

The structure in POSCAR format:
```
BaYTe2
1.0
2.2506 1.2994 7.7145
-2.2506 1.2994 7.7145
0.0000 -2.5988 7.7145
Ba Y Te
1 1 2
Cartesian
0.0000 0.0000 0.0000 Ba
0.0000 0.0000 11.5718 Y
0.0000 0.0000 5.5218 Te
0.0000 0.0000 17.6219 Te
```

Output
SG: R-3m (166)
M_tot: 0.000 μB/atom
Density: 5.91 g cm⁻³


## Q
A plane-wave DFT calculation with SCAN was carried out for BaYTe2 at its PBEsol-relaxed geometry.

The structure in POSCAR format:
```
BaYTe2
1.0
2.4376 1.4073 9.4879
-2.4376 1.4073 9.4879
0.0000 -2.8147 9.4879
Ba Y Te
1 1 2
Cartesian
0.0000 0.0000 0.0000 Ba
0.0000 0.0000 14.2318 Y
0.0000 0.0000 11.4170 Te
0.0000 0.0000 17.0466 Te
```

Output
SG: R-3m (166)
M_tot: 0.095 μB/atom
Density: 4.09 g cm⁻³


Most stable: P (next structure +692 meV per atom)


## P
A plane-wave DFT calculation with SCAN was carried out for BaZrTe at its PBEsol-relaxed geometry.

The structure in POSCAR format:
```
BaZrTe
1.0
0.0000 3.8828 3.8828
3.8828 0.0000 3.8828
3.8828 3.8828 0.0000
Ba Zr Te
1 1 1
Cartesian
0.0000 0.0000 0.0000 Ba
5.8242 5.8242 5.8242 Zr
1.9414 1.9414 1.9414 Te
```

Output
SG: F-43m (216)
M_tot: 1.333 μB/atom
Density: 5.05 g cm⁻³


## Q
A plane-wave DFT calculation with SCAN was carried out for BaZrTe at its PBEsol-relaxed geometry.

The structure in POSCAR format:
```
BaZrTe
1.0
0.0000 3.5915 3.5915
3.5915 0.0000 3.5915
3.5915 3.5915 0.0000
Ba Zr Te
1 1 1
Cartesian
0.0000 0.0000 0.0000 Ba
1.7958 1.7958 1.7958 Zr
3.5915 3.5915 3.5915 Te
```

Output
SG: F-43m (216)
M_tot: 1.245 μB/atom
Density: 6.38 g cm⁻³


Most stable: Q (next structure +338 meV per atom)


## P
A plane-wave DFT calculation with SCAN was carried out for Ba3Tl2 at its PBEsol-relaxed geometry.

The structure in POSCAR format:
```
Ba3Tl2
1.0
2.1310 1.2303 14.1412
-2.1310 1.2303 14.1412
0.0000 -2.4607 14.1412
Ba Tl
3 2
Cartesian
0.0000 0.0000 0.0000 Ba
0.0000 0.0000 9.0188 Ba
0.0000 0.0000 33.4047 Ba
0.0000 0.0000 16.7545 Tl
0.0000 0.0000 25.6691 Tl
```

Output
SG: R-3m (166)
M_tot: 0.042 μB/atom
Density: 6.13 g cm⁻³


## Q
A plane-wave DFT calculation with SCAN was carried out for Ba3Tl2 at its PBEsol-relaxed geometry.

The structure in POSCAR format:
```
Ba3Tl2
1.0
5.8604 0.0000 0.0000
-2.9302 5.0753 0.0000
0.0000 0.0000 7.2602
Ba Tl
3 2
Cartesian
0.0000 0.0000 0.0000 Ba
0.0000 3.3835 2.4599 Ba
2.9302 1.6918 4.8003 Ba
0.0000 3.3835 6.2033 Tl
2.9302 1.6918 1.0568 Tl
```

Output
SG: P-3m1 (164)
M_tot: 0.000 μB/atom
Density: 6.31 g cm⁻³


Most stable: Q (next structure +184 meV per atom)


## P
A plane-wave DFT calculation with SCAN was carried out for Ba5Tl at its PBEsol-relaxed geometry.

The structure in POSCAR format:
```
Ba5Tl
1.0
7.3966 -2.1673 0.0000
7.3966 2.1673 0.0000
-4.0090 0.0000 9.5373
Ba Tl
5 1
Cartesian
0.0000 0.0000 0.0000 Ba
4.1212 0.0000 2.1189 Ba
2.9155 0.0000 6.0153 Ba
7.8686 0.0000 3.5220 Ba
6.6629 0.0000 7.4184 Ba
-2.0045 0.0000 4.7686 Tl
```

Output
SG: C2/m (12)
M_tot: 0.001 μB/atom
Density: 4.84 g cm⁻³


## Q
A plane-wave DFT calculation with SCAN was carried out for Ba5Tl at its PBEsol-relaxed geometry.

The structure in POSCAR format:
```
Ba5Tl
1.0
6.3610 0.0000 0.0000
0.0000 2.3242 9.8597
0.0000 -2.3242 9.8597
Ba Tl
5 1
Cartesian
0.0000 0.0000 0.0000 Ba
0.0000 0.0000 5.5403 Ba
3.1805 0.0000 2.7858 Ba
3.1805 0.0000 9.3082 Ba
3.1805 0.0000 15.9995 Ba
0.0000 0.0000 12.6276 Tl
```

Output
SG: Amm2 (38)
M_tot: 0.005 μB/atom
Density: 5.08 g cm⁻³


Most stable: P (next structure +68 meV per atom)


## P
A plane-wave DFT calculation with SCAN was carried out for BaTlW2 at its PBEsol-relaxed geometry.

The structure in POSCAR format:
```
BaTlW2
1.0
4.2642 0.0000 0.0000
0.0000 4.2642 0.0000
0.0000 0.0000 4.8870
Ba Tl W
1 1 2
Cartesian
0.0000 0.0000 0.0000 Ba
2.1321 2.1321 0.0000 Tl
0.0000 2.1321 2.4435 W
2.1321 0.0000 2.4435 W
```

Output
SG: P4/mmm (123)
M_tot: 0.000 μB/atom
Density: 13.26 g cm⁻³


## Q
A plane-wave DFT calculation with SCAN was carried out for BaTlW2 at its PBEsol-relaxed geometry.

The structure in POSCAR format:
```
BaTlW2
1.0
2.8978 0.0000 0.0000
0.0000 5.4083 0.0000
0.0000 0.0000 5.5194
Ba Tl W
1 1 2
Cartesian
0.0000 0.0000 0.0000 Ba
1.4489 0.0000 2.7597 Tl
0.0000 2.7041 2.7597 W
1.4489 2.7041 0.0000 W
```

Output
SG: Pmmm (47)
M_tot: 0.000 μB/atom
Density: 13.62 g cm⁻³


Most stable: Q (next structure +221 meV per atom)